(1)
Below is an optimized crystal structure of YSiNi2Rh, with properties calculated at the GGA-PBE level.

Values from the calculation:
ΔE_f (raw) = 1398 meV/atom
DFT total energy = -23.8 eV/f.u.
Theoretical density = 5.27 g/cm³

a b c (Å): 4.6682 4.8766 4.6682
angles (deg): 90.00 90.00 90.00
Closest atoms and distances in Å follow each position.
Fractional positions:
Y  0.0000  0.0000  0.0000  4 Ni 2.33, 2 Rh 2.44
Ni  0.0000  0.0000  0.5000  2 Y 2.33
Ni  0.5000  0.0000  0.0000  2 Y 2.33
Si  0.5000  0.5000  0.5000  4 Rh 3.30, 8 Ni 3.38
Rh  0.0000  0.5000  0.0000  2 Y 2.44

(2)
Below is an optimized crystal structure of NiPOs, with properties calculated at the GGA-PBE level.

Values from the calculation:
Formation energy from the elements = 1.82 eV/f.u.
DFT total energy = -20.6 eV/f.u.
Theoretical density = 11.08 g/cm³

a b c (Å): 3.8999 3.8999 3.8999
angles (deg): 60.00 60.00 60.00
Closest atoms and distances in Å follow each position.
Fractional positions:
Ni  0.2500  0.2500  0.2500  4 Os 2.39, 4 P 2.39
P  0.5000  0.5000  0.5000  4 Ni 2.39
Os  0.0000  0.0000  0.0000  4 Ni 2.39

(3)
Below is an optimized crystal structure of KHg3Pt, with properties calculated at the GGA-PBE level.

Values from the calculation:
Formation energy from the elements = 0.51 eV/f.u.
DFT total energy = -7.5 eV/f.u.
Theoretical density = 7.46 g/cm³

a b c (Å): 5.4088 5.4088 13.2779
angles (deg): 78.25 78.25 90.00
Closest atoms and distances in Å follow each position.
Fractional positions:
K  0.0000  0.0000  0.0000  4 Hg 3.39
K  0.2500  0.7500  0.5000  8 Hg 3.52-3.80
Hg  0.1252  0.8776  0.2448  2 Hg 2.68-2.73
Hg  0.1224  0.8748  0.7552  2 Hg 2.68-2.73
Hg  0.1224  0.3700  0.7552  2 Hg 2.68-2.73
Hg  0.6300  0.8776  0.2448  2 Hg 2.68-2.73
Hg  0.3548  0.3548  0.2904  2 Pt 2.73
Hg  0.6452  0.6452  0.7096  2 Pt 2.73
Pt  0.6308  0.1308  0.7383  6 Hg 2.73-3.03
Pt  0.8692  0.3692  0.2617  6 Hg 2.73-3.03

(4)
Below is an optimized crystal structure of YZrW2, with properties calculated at the GGA-PBE level.

Values from the calculation:
Formation energy from the elements = 2.04 eV/f.u.
DFT total energy = -38.9 eV/f.u.
Theoretical density = 11.56 g/cm³

a b c (Å): 5.6907 5.6907 5.6907
angles (deg): 145.70 130.05 61.99
Closest atoms and distances in Å follow each position.
Fractional positions:
W  0.0067  0.0067  0.0000  2 Zr 2.91, 4 W 2.93, 2 Y 3.01
W  0.4933  0.4933  0.0000  2 Zr 2.91, 4 W 2.93, 2 Y 3.01
Y  0.7500  0.2500  0.5000  4 Zr 2.93, 4 W 3.01
Zr  0.2500  0.7500  0.5000  4 W 2.91, 4 Y 2.93

(5)
Below is an optimized crystal structure of Ti3Nb2H5, with properties calculated at the GGA-PBE level.

Values from the calculation:
DFT total energy = -61.4 eV/f.u.
Theoretical density = 5.41 g/cm³

a b c (Å): 5.3708 6.9987 6.9987
angles (deg): 60.63 67.44 67.44
Closest atoms and distances in Å follow each position.
Fractional positions:
Ti  0.4266  0.4184  0.7285  5 H 1.91-2.10
Ti  0.9266  0.7285  0.4184  5 H 1.91-2.10
Ti  0.5734  0.5816  0.2715  5 H 1.91-2.10
Ti  0.0734  0.2715  0.5816  5 H 1.91-2.10
Ti  0.2500  0.0000  0.0000  4 H 1.96
Ti  0.7500  0.0000  0.0000  4 H 1.96
Nb  0.2047  0.4851  0.1054  3 H 1.91-2.04
Nb  0.7047  0.1054  0.4851  3 H 1.91-2.04
Nb  0.7953  0.5149  0.8946  3 H 1.91-2.04
Nb  0.2953  0.8946  0.5149  3 H 1.91-2.04
H  0.3770  0.1944  0.0516  3 Ti 1.96-2.01, 1 Nb 2.04
H  0.8770  0.0516  0.1944  3 Ti 1.96-2.01, 1 Nb 2.04
H  0.6230  0.8056  0.9484  3 Ti 1.96-2.01, 1 Nb 2.04
H  0.1230  0.9484  0.8056  3 Ti 1.96-2.01, 1 Nb 2.04
H  0.5667  0.6833  0.6833  2 Nb 1.91, 1 H 1.98, 2 Ti 2.10
H  0.4333  0.3167  0.3167  2 Nb 1.91, 1 H 1.98, 2 Ti 2.10
H  0.7500  0.5000  0.5000  4 Ti 1.91, 2 H 1.98
H  0.2500  0.5000  0.5000  4 Ti 1.91, 2 H 1.98
H  0.9333  0.3167  0.3167  2 Nb 1.91, 1 H 1.98, 2 Ti 2.10
H  0.0667  0.6833  0.6833  2 Nb 1.91, 1 H 1.98, 2 Ti 2.10

(6)
Below is an optimized crystal structure of Li2ScSb, with properties calculated at the GGA-PBE level.

Values from the calculation:
ΔE_f (raw) = -279 meV/atom
DFT total energy = -15.4 eV/f.u.
Theoretical density = 3.56 g/cm³

a b c (Å): 3.2629 4.3359 5.9538
angles (deg): 90.00 90.00 90.00
Closest atoms and distances in Å follow each position.
Fractional positions:
Li  0.0000  0.0000  0.0220  1 Li 2.71, 4 Sb 3.03
Li  0.0000  0.0000  0.4780  1 Li 2.71, 4 Sb 3.03
Sb  0.5000  0.5000  0.2500  2 Sc 2.98, 8 Li 3.03, 2 Sb 3.26
Sc  0.5000  0.5000  0.7500  2 Sb 2.98, 8 Li 3.16, 2 Sc 3.26

Q: Which of these has the highest theoretical density?
A: YZrW2